No. 1
Compound: BiBPt3
Source: the Alexandria database
Functional: PBE
Structure: relaxed

Cell: 5.587 5.915 5.666 Å, 106.10 79.11 102.02°
Sites, in units of the cell vectors:
Bi 0.201 0.519 0.793
Bi 0.808 0.570 0.409
Pt 0.773 0.062 0.556
Pt 0.688 0.522 0.906
Pt 0.241 0.059 0.154
Pt 0.767 0.030 0.048
Pt 0.236 0.027 0.646
Pt 0.320 0.567 0.296
B 0.484 0.925 0.317
B 0.524 0.164 0.886

Output
Energy above the most stable polymorph in this dataset ... 13 meV/atom
SG ... P-1, No. 2
Total magnetization ... 0.00 μB per cell
ΔE_f ... -1.02 eV/f.u.

No. 2
Compound: AlIr2Cl
Source: the Alexandria database
Functional: PBE
Structure: relaxed

Cell: 2.982 2.982 6.964 Å, 90.00 90.00 90.00°
Sites, in units of the cell vectors:
Cl 0.500 0.500 0.750
Al 0.500 0.500 0.250
Ir 0.000 0.000 0.043
Ir 0.000 0.000 0.457

Output
Energy above the most stable polymorph in this dataset ... 148 meV/atom
SG ... P4/mmm, No. 123
Total magnetization ... 0.00 μB per cell
Uncorrected formation energy ... 0.38 eV per formula unit